(1)
This record from Alexandria describes crystalline Zr2SbN at its relaxed geometry. The functional is PBE-GGA.

Cell: 4.6965 4.6965 4.6965 Å, 60.00 60.00 60.00°
Last column: nearest neighbours and their distance in Å.
Atoms (fractional coordinates):
Zr1 0.7500 0.7500 0.7500  4 Sb 2.88, 4 N 2.88
Zr2 0.2500 0.2500 0.2500  4 Sb 2.88, 4 N 2.88
N1 0.0000 0.0000 0.0000  8 Zr 2.88
Sb1 0.5000 0.5000 0.5000  8 Zr 2.88

Computed properties:
E_form (uncorrected) (eV/f.u.): 0.34
Polymorph energy (0 for the lowest one) (eV per atom): 1.125
Symmetry: Fm-3m

***

(2)
This record from Alexandria describes crystalline Zr5Sb2N at its relaxed geometry. The functional is PBE-GGA.

Cell: 4.1981 8.0225 12.0033 Å, 90.00 90.00 105.17°
Last column: nearest neighbours and their distance in Å.
Atoms (fractional coordinates):
Zr1 0.1155 0.2310 0.1244  1 N 2.26
Zr2 0.6938 0.3877 0.5581  1 N 2.63, 2 Sb 2.90
Zr3 0.3062 0.6123 0.4419  1 N 2.63, 2 Sb 2.90
Zr4 0.3062 0.6123 0.0581  1 N 2.63, 2 Sb 2.90
Zr5 0.2473 0.4946 0.7500  2 N 2.14
Zr6 0.6938 0.3877 0.9419  1 N 2.63, 2 Sb 2.90
Zr7 0.1155 0.2310 0.3756  1 N 2.26
Zr8 0.7527 0.5054 0.2500  2 N 2.14
Zr9 0.8845 0.7690 0.6244  1 N 2.26
Zr10 0.8845 0.7690 0.8756  1 N 2.26
N1 0.2244 0.4489 0.2500  4 Zr 2.14-2.26
N2 0.7756 0.5511 0.7500  4 Zr 2.14-2.26
Sb1 0.0747 0.1494 0.8781  5 Zr 2.90-3.08, 1 Sb 3.08
Sb2 0.9253 0.8506 0.3781  5 Zr 2.90-3.08, 1 Sb 3.08
Sb3 0.9253 0.8506 0.1219  5 Zr 2.90-3.08, 1 Sb 3.08
Sb4 0.0747 0.1494 0.6219  5 Zr 2.90-3.08, 1 Sb 3.08

Computed properties:
E_form (uncorrected) (eV/f.u.): -2.85
Symmetry: Cmcm

***

(3)
This record from Alexandria describes crystalline ZrSb3N at its relaxed geometry. The functional is PBE-GGA.

Cell: 4.7066 4.7066 4.7066 Å, 90.00 90.00 90.00°
Last column: nearest neighbours and their distance in Å.
Atoms (fractional coordinates):
N1 0.0000 0.0000 0.0000  6 Sb 2.35
Sb1 0.0000 0.5000 0.0000  2 N 2.35
Sb2 0.0000 0.0000 0.5000  2 N 2.35
Sb3 0.5000 0.0000 0.0000  2 N 2.35
Zr1 0.5000 0.5000 0.5000  12 Sb 3.33

Computed properties:
E_form (uncorrected) (eV/f.u.): 1.43
Polymorph energy (0 for the lowest one) (eV per atom): 0.000
Symmetry: Pm-3m

***

(4)
This record from Alexandria describes crystalline ZrSbN3 at its relaxed geometry. The functional is PBE-GGA.

Cell: 4.2194 4.2194 4.2194 Å, 90.00 90.00 90.00°
Last column: nearest neighbours and their distance in Å.
Atoms (fractional coordinates):
Zr1 0.0000 0.0000 0.0000  6 N 2.11
Sb1 0.5000 0.5000 0.5000  12 N 2.98
N1 0.5000 0.0000 0.0000  2 Zr 2.11
N2 0.0000 0.5000 0.0000  2 Zr 2.11
N3 0.0000 0.0000 0.5000  2 Zr 2.11

Computed properties:
E_form (uncorrected) (eV/f.u.): 3.34
Symmetry: Pm-3m

***

(5)
This record from Alexandria describes crystalline Zr4SbN2 at its relaxed geometry. The functional is PBE-GGA.

Cell: 3.6009 5.8554 11.7259 Å, 90.00 90.00 107.91°
Last column: nearest neighbours and their distance in Å.
Atoms (fractional coordinates):
Zr1 0.2436 0.4873 0.8997  3 N 2.27-2.31
Zr2 0.9135 0.8269 0.7500  2 N 2.26
Zr3 0.7564 0.5127 0.1003  3 N 2.27-2.31
Zr4 0.5000 0.0000 0.0000  4 N 2.45
Zr5 0.7564 0.5127 0.3997  3 N 2.27-2.31
Zr6 0.2436 0.4873 0.6003  3 N 2.27-2.31
Zr7 0.5000 0.0000 0.5000  4 N 2.45
Zr8 0.0865 0.1731 0.2500  2 N 2.26
Sb1 0.3884 0.7767 0.2500  8 Zr 2.85-3.18
Sb2 0.6116 0.2233 0.7500  8 Zr 2.85-3.18
N1 0.1336 0.2672 0.0622  6 Zr 2.26-2.45
N2 0.8664 0.7328 0.9378  6 Zr 2.26-2.45
N3 0.1336 0.2672 0.4378  6 Zr 2.26-2.45
N4 0.8664 0.7328 0.5622  6 Zr 2.26-2.45

Computed properties:
E_form (uncorrected) (eV/f.u.): -8.00
Symmetry: Cmcm

***

(6)
This record from Alexandria describes crystalline Zr2SbN at its relaxed geometry. The functional is PBE-GGA.

Cell: 3.5039 3.5039 7.0328 Å, 75.58 75.58 60.00°
Last column: nearest neighbours and their distance in Å.
Atoms (fractional coordinates):
Zr1 0.2774 0.2774 0.1678  3 N 2.32
Zr2 0.7226 0.7226 0.8322  3 N 2.32
Sb1 0.5000 0.5000 0.5000  6 Zr 3.02
N1 0.0000 0.0000 0.0000  6 Zr 2.32

Computed properties:
E_form (uncorrected) (eV/f.u.): -4.16
Polymorph energy (0 for the lowest one) (eV per atom): 0.000
Symmetry: R-3m

***

(7)
This record from Alexandria describes crystalline ZrSb3N at its relaxed geometry. The functional is PBE-GGA.

Cell: 5.5461 5.5461 5.5461 Å, 90.00 90.00 90.00°
Last column: nearest neighbours and their distance in Å.
Atoms (fractional coordinates):
Sb1 0.5000 0.0000 0.0000  2 Zr 2.77
Sb2 0.0000 0.5000 0.0000  2 Zr 2.77
Sb3 0.0000 0.0000 0.5000  2 Zr 2.77
N1 0.5000 0.5000 0.5000  12 Sb 3.92
Zr1 0.0000 0.0000 0.0000  6 Sb 2.77

Computed properties:
E_form (uncorrected) (eV/f.u.): 5.92
Polymorph energy (0 for the lowest one) (eV per atom): 0.898
Symmetry: Pm-3m

***

(8)
This record from Alexandria describes crystalline Zr2SbN at its relaxed geometry. The functional is PBE-GGA.

Cell: 6.7480 6.7480 5.9204 Å, 55.26 55.26 90.00°
Last column: nearest neighbours and their distance in Å.
Atoms (fractional coordinates):
N1 0.5000 0.5000 0.0000  4 Zr 2.12
N2 0.2500 0.7500 0.5000  4 Zr 2.12
Zr1 0.2365 0.6250 0.2500  2 N 2.12
Zr2 0.8750 0.7635 0.7500  2 N 2.12
Zr3 0.5135 0.1250 0.2500  2 N 2.12
Zr4 0.3750 0.4865 0.7500  2 N 2.12
Sb1 0.7500 0.2500 0.5000  8 Zr 3.09-3.26
Sb2 0.0000 0.0000 0.0000  8 Zr 3.09-3.26

Computed properties:
E_form (uncorrected) (eV/f.u.): -3.62
Polymorph energy (0 for the lowest one) (eV per atom): 0.136
Symmetry: I-42d

***

(9)
This record from Alexandria describes crystalline ZrSbN2 at its relaxed geometry. The functional is PBE-GGA.

Cell: 5.3917 5.3917 6.2029 Å, 64.24 64.24 90.00°
Last column: nearest neighbours and their distance in Å.
Atoms (fractional coordinates):
N1 0.8750 0.8200 0.7500  2 Zr 2.10
N2 0.1800 0.6250 0.2500  2 Zr 2.10
N3 0.5700 0.1250 0.2500  2 Zr 2.10
N4 0.3750 0.4300 0.7500  2 Zr 2.10
Zr1 0.5000 0.5000 0.0000  4 N 2.10
Zr2 0.2500 0.7500 0.5000  4 N 2.10
Sb1 0.7500 0.2500 0.5000  4 N 2.45
Sb2 0.0000 0.0000 0.0000  4 N 2.45

Computed properties:
E_form (uncorrected) (eV/f.u.): -0.95
Symmetry: I-42d

***

(10)
This record from Alexandria describes crystalline ZrSbN2 at its relaxed geometry. The functional is PBE-GGA.

Cell: 6.8665 6.8665 6.8665 Å, 28.07 28.07 28.07°
Last column: nearest neighbours and their distance in Å.
Atoms (fractional coordinates):
N1 0.1096 0.1096 0.1096  1 Sb 2.17, 3 Zr 2.23
N2 0.8904 0.8904 0.8904  1 Sb 2.17, 3 Zr 2.23
Zr1 0.5000 0.5000 0.5000  6 N 2.23
Sb1 0.0000 0.0000 0.0000  2 N 2.17

Computed properties:
E_form (uncorrected) (eV/f.u.): -2.28
Symmetry: R-3m

***

(11)
This record from Alexandria describes crystalline Zr4SbN at its relaxed geometry. The functional is PBE-GGA.

Cell: 5.4979 6.4889 7.4202 Å, 104.40 111.75 89.99°
Last column: nearest neighbours and their distance in Å.
Atoms (fractional coordinates):
Zr1 0.2642 0.6703 0.3897  2 N 2.30-2.31
Zr2 0.3178 0.5492 0.7987  1 N 2.20
Zr3 0.6822 0.4508 0.2013  1 N 2.20
Zr4 0.1256 0.1702 0.3897  2 N 2.30-2.31
Zr5 0.8744 0.8298 0.6103  2 N 2.30-2.31
Zr6 0.4809 0.0493 0.7989  1 N 2.20
Zr7 0.5191 0.9507 0.2011  1 N 2.20
Zr8 0.7358 0.3297 0.6103  2 N 2.30-2.31
Sb1 0.8846 0.7500 0.9999  10 Zr 3.04-3.36
Sb2 0.1154 0.2500 0.0001  10 Zr 3.04-3.36
N1 0.0000 0.5000 0.5000  6 Zr 2.20-2.31
N2 0.5000 0.0000 0.5000  6 Zr 2.20-2.31

Computed properties:
E_form (uncorrected) (eV/f.u.): -4.88
Symmetry: C2/c

***

(12)
This record from Alexandria describes crystalline ZrSbN3 at its relaxed geometry. The functional is PBE-GGA.

Cell: 3.9627 3.9627 3.9627 Å, 90.00 90.00 90.00°
Last column: nearest neighbours and their distance in Å.
Atoms (fractional coordinates):
N1 0.0000 0.0000 0.5000  2 Sb 1.98
N2 0.5000 0.0000 0.0000  2 Sb 1.98
N3 0.0000 0.5000 0.0000  2 Sb 1.98
Zr1 0.5000 0.5000 0.5000  12 N 2.80
Sb1 0.0000 0.0000 0.0000  6 N 1.98

Computed properties:
E_form (uncorrected) (eV/f.u.): 2.69
Symmetry: Pm-3m

***

(13)
This record from Alexandria describes crystalline Sc6N5 at its relaxed geometry. The functional is PBE-GGA.

Cell: 5.5576 5.5595 5.5527 Å, 120.04 99.67 70.39°
Last column: nearest neighbours and their distance in Å.
Atoms (fractional coordinates):
Sc1 0.7382 0.7387 0.0000  5 N 2.17-2.27
Sc2 0.7461 0.0850 0.6515  5 N 2.18-2.30
Sc3 0.2539 0.5665 0.6515  5 N 2.18-2.30
Sc4 0.7461 0.4335 0.3485  5 N 2.18-2.30
Sc5 0.2539 0.9150 0.3485  5 N 2.18-2.30
Sc6 0.2618 0.2613 0.0000  5 N 2.17-2.27
N1 0.5000 0.5000 0.0000  6 Sc 2.17-2.29
N2 0.5000 0.8331 0.6663  6 Sc 2.18-2.30
N3 0.0000 0.3333 0.6666  6 Sc 2.25-2.27
N4 0.5000 0.1669 0.3337  6 Sc 2.18-2.30
N5 0.0000 0.6667 0.3334  6 Sc 2.25-2.27

Computed properties:
E_form (uncorrected) (eV/f.u.): -19.57
Symmetry: C2/m

***

(14)
This record from Alexandria describes crystalline Sc2N at its relaxed geometry. The functional is PBE-GGA.

Cell: 3.2339 3.2340 10.7315 Å, 90.00 90.00 120.00°
Last column: nearest neighbours and their distance in Å.
Atoms (fractional coordinates):
Sc1 0.9167 0.8335 0.1187  3 N 2.25
Sc2 0.2499 0.4997 0.3907  3 N 2.22
Sc3 0.5833 0.1665 0.6187  3 N 2.25
Sc4 0.2501 0.5003 0.8907  3 N 2.22
N1 0.5835 0.1670 0.0018  6 Sc 2.22-2.25
N2 0.9165 0.8330 0.5018  6 Sc 2.22-2.25

Computed properties:
E_form (uncorrected) (eV/f.u.): -3.79
Symmetry: P6_3mc

***

(15)
This record from Alexandria describes crystalline ScN4 at its relaxed geometry. The functional is PBE-GGA.

Cell: 4.4889 4.4889 4.4889 Å, 90.00 90.00 90.00°
Last column: nearest neighbours and their distance in Å.
Atoms (fractional coordinates):
N1 0.5000 0.0000 0.5000  2 Sc 2.24
N2 0.0000 0.5000 0.5000  2 Sc 2.24
N3 0.5000 0.5000 0.0000  2 Sc 2.24
N4 0.0000 0.0000 0.0000  12 N 3.17
Sc1 0.5000 0.5000 0.5000  6 N 2.24

Computed properties:
E_form (uncorrected) (eV/f.u.): 12.94
Symmetry: Pm-3m

***

(16)
This record from Alexandria describes crystalline Sc4N3 at its relaxed geometry. The functional is PBE-GGA.

Cell: 3.2220 3.2220 10.6997 Å, 81.34 81.34 60.00°
Last column: nearest neighbours and their distance in Å.
Atoms (fractional coordinates):
Sc1 0.8805 0.8805 0.3586  3 N 2.16
Sc2 0.6270 0.6270 0.1189  6 N 2.24-2.34
Sc3 0.1195 0.1195 0.6414  3 N 2.16
Sc4 0.3730 0.3730 0.8811  6 N 2.24-2.34
N1 0.0000 0.0000 0.0000  6 Sc 2.24
N2 0.7513 0.7513 0.7462  6 Sc 2.16-2.34
N3 0.2487 0.2487 0.2538  6 Sc 2.16-2.34

Computed properties:
E_form (uncorrected) (eV/f.u.): -11.69
Symmetry: R-3m

***

(17)
This record from Alexandria describes crystalline Sc3SeN at its relaxed geometry. The functional is PBE-GGA.

Cell: 3.4356 6.3914 8.7435 Å, 90.00 101.33 90.00°
Last column: nearest neighbours and their distance in Å.
Atoms (fractional coordinates):
Se1 0.1562 0.5008 0.3124  6 Sc 2.57-2.67
Se2 0.8438 0.0008 0.6876  6 Sc 2.57-2.67
N1 0.6583 0.0049 0.3166  5 Sc 2.16-2.39
N2 0.3417 0.5049 0.6834  5 Sc 2.16-2.39
Sc1 0.7617 0.6502 0.5235  2 N 2.39, 3 Se 2.65-2.67
Sc2 0.4210 0.7682 0.8420  1 N 2.16
Sc3 0.2383 0.1502 0.4765  2 N 2.39, 3 Se 2.65-2.67
Sc4 0.0965 0.8700 0.1930  2 N 2.19
Sc5 0.5790 0.2682 0.1580  1 N 2.16
Sc6 0.9035 0.3700 0.8070  2 N 2.19

Computed properties:
E_form (uncorrected) (eV/f.u.): -5.87
Polymorph energy (0 for the lowest one) (eV per atom): 0.225
Symmetry: Cmc2_1

***

(18)
This record from Alexandria describes crystalline Sc4SeN at its relaxed geometry. The functional is PBE-GGA.

Cell: 4.8128 8.1104 8.1134 Å, 114.43 90.00 107.26°
Last column: nearest neighbours and their distance in Å.
Atoms (fractional coordinates):
Sc1 0.9621 0.9241 0.6329  2 N 2.16-2.23
Sc2 0.0379 0.0759 0.3671  2 N 2.16-2.23
Sc3 0.7451 0.4902 0.3307  1 N 2.19
Sc4 0.1712 0.3424 0.9576  1 N 2.16
Sc5 0.6170 0.2340 0.6689  2 N 2.41
Sc6 0.2549 0.5098 0.6693  1 N 2.19
Sc7 0.3830 0.7660 0.3311  2 N 2.41
Sc8 0.8288 0.6576 0.0424  1 N 2.16
Se1 0.1882 0.3764 0.2943  5 Sc 2.54-2.76
Se2 0.8118 0.6236 0.7057  5 Sc 2.54-2.76
N1 0.1119 0.2238 0.6625  6 Sc 2.16-2.41
N2 0.8881 0.7762 0.3375  6 Sc 2.16-2.41

Computed properties:
E_form (uncorrected) (eV/f.u.): -5.36
Symmetry: C2/m

***

(19)
This record from Alexandria describes crystalline Sc4Se2N at its relaxed geometry. The functional is PBE-GGA.

Cell: 4.2056 4.2056 7.7471 Å, 74.25 74.25 90.00°
Last column: nearest neighbours and their distance in Å.
Atoms (fractional coordinates):
Se1 0.6408 0.6408 0.7185  9 Sc 2.75-3.00
Se2 0.3592 0.3592 0.2815  9 Sc 2.75-3.00
Sc1 0.1667 0.1667 0.6666  1 N 2.39
Sc2 0.0000 0.5000 0.0000  2 N 2.10
Sc3 0.5000 0.0000 0.0000  2 N 2.10
Sc4 0.8333 0.8333 0.3334  1 N 2.39
N1 0.0000 0.0000 0.0000  4 Sc 2.10

Computed properties:
E_form (uncorrected) (eV/f.u.): -8.56
Polymorph energy (0 for the lowest one) (eV per atom): 0.105
Symmetry: I4/mmm

***

(20)
This record from Alexandria describes crystalline Sc3SeN at its relaxed geometry. The functional is PBE-GGA.

Cell: 3.4736 5.8385 8.5334 Å, 90.00 90.00 107.31°
Last column: nearest neighbours and their distance in Å.
Atoms (fractional coordinates):
Sc1 0.6247 0.2494 0.0486  2 N 2.26
Sc2 0.3753 0.7506 0.9514  2 N 2.26
Sc3 0.6247 0.2494 0.4514  2 N 2.26
Sc4 0.3753 0.7506 0.5486  2 N 2.26
Sc5 0.0553 0.1107 0.7500  2 N 2.22
Sc6 0.9447 0.8893 0.2500  2 N 2.22
Se1 0.2515 0.5030 0.2500  8 Sc 2.77-2.90
Se2 0.7485 0.4970 0.7500  8 Sc 2.77-2.90
N1 0.0000 0.0000 0.5000  6 Sc 2.22-2.26
N2 0.0000 0.0000 0.0000  6 Sc 2.22-2.26

Computed properties:
E_form (uncorrected) (eV/f.u.): -7.00
Polymorph energy (0 for the lowest one) (eV per atom): 0.000
Symmetry: Cmcm